Density functional theory data (SCAN) for a crystal of BeP2Ir relaxed with PBEsol.

```
4
Lattice="3.1577 0.0000 0.0000 0.0000 1.7575 4.9970 0.0000 -1.7575 4.9970" Properties=species:S:1:pos:R:3 pbc="T T T"
Be 0.0000 0.0000 0.0000
P 0.0000 0.0000 3.7687
P 1.5788 0.0000 2.1830
Ir 1.5788 0.0000 5.7252
```

* final energy: -24.310 eV per atom
* calculated volume: 13.866 A^3/atom
* space group: Amm2, No. 38



Density functional theory data (SCAN) for a crystal of BeP2Ir relaxed with PBEsol.

```
4
Lattice="-1.6904 2.0365 3.5659 1.6904 -2.0365 3.5659 1.6904 2.0365 -3.5659" Properties=species:S:1:pos:R:3 pbc="T T T"
Be 0.0000 0.0000 0.0000
P 0.0000 0.0000 3.8554
P 0.0000 2.0365 1.9789
Ir 1.6904 0.0000 1.9004
```

* final energy: -23.799 eV per atom
* calculated volume: 12.276 A^3/atom
* space group: Imm2, No. 44



Density functional theory data (SCAN) for a crystal of BeP2Ir relaxed with PBEsol.

```
4
Lattice="0.0000 2.9095 2.9095 2.9095 0.0000 2.9095 2.9095 2.9095 0.0000" Properties=species:S:1:pos:R:3 pbc="T T T"
Be 0.0000 0.0000 0.0000
P 1.4548 1.4548 1.4548
P 2.9095 2.9095 2.9095
Ir 4.3643 4.3643 4.3643
```

* final energy: -23.623 eV per atom
* calculated volume: 12.315 A^3/atom
* space group: F-43m, No. 216